Record 1
Zn3BiAs, PBEsol geometry, DFT meta-GGA SCAN; DOS(E_F) = 4.8 states/eV/f.u.; energy of formation = 1.98 eV/f.u.; SG = Pm-3m (221)
1.0
-3.4815 2.6370 -2.0218
1.2079 -1.7236 -4.3280
-3.0955 -3.6383 0.5850
Zn Bi As
3 1 1
Direct
0.5000 0.0000 0.0000
0.0000 0.5000 0.0000
0.0000 0.0000 0.5000
0.5000 0.5000 0.5000
0.0000 0.0000 0.0000


Record 2
Zn2BiAs2, PBEsol geometry, DFT meta-GGA SCAN; DOS(E_F) = 1.5 states/eV/f.u.; energy of formation = 0.58 eV/f.u.; SG = I4/mmm (139)
1.0
3.8495 0.0000 0.0000
0.0000 3.8495 0.0000
-1.9248 -1.9248 6.8168
Zn Bi As
2 1 2
Direct
0.7500 0.2500 0.5000
0.2500 0.7500 0.5000
0.0000 0.0000 0.0000
0.3756 0.3756 0.7511
0.6244 0.6244 0.2489


Record 3
AsBr3, PBEsol geometry, DFT meta-GGA SCAN; DOS(E_F) = 2.0 states/eV/f.u.; formation energy without anion corrections = 0.19 eV per atom; SG = P-6m2 (187)
1.0
3.5266 0.0000 0.0000
-1.7633 3.0541 0.0000
0.0000 0.0000 9.1125
As Br
1 3
Direct
0.0000 0.0000 0.0000
0.3333 0.6667 0.7943
0.3333 0.6667 0.2057
0.0000 0.0000 0.5000


Record 4
AsBr, PBEsol geometry, DFT meta-GGA SCAN; DOS(E_F) = 0.1 states/eV/f.u.; formation energy without anion corrections = -0.11 eV per atom; SG = Cm (8); energy above the most stable polymorph in this dataset = 141 meV/atom
1.0
3.7239 0.0000 0.0000
-1.8619 6.6424 0.1364
0.0000 -2.5898 7.3066
As Br
3 3
Direct
0.0784 0.1569 0.0020
0.5178 0.0356 0.7537
0.5199 0.0398 0.1805
0.3336 0.6672 0.1021
0.3334 0.6668 0.6383
0.0502 0.1004 0.4901


Record 5
AsBr, PBEsol geometry, DFT meta-GGA SCAN; DOS(E_F) = 0.0 states/eV/f.u.; formation energy without anion corrections = -0.25 eV per atom; SG = P2_1/m (11); energy above the most stable polymorph in this dataset = 1 meV/atom
1.0
-3.5760 0.9817 -0.9371
-1.2206 -0.8465 3.7711
1.3192 6.9626 2.2599
As Br
2 2
Direct
0.7500 0.7928 0.0026
0.2500 0.2072 0.9974
0.7500 0.7404 0.3199
0.2500 0.2596 0.6801


Record 6
AsBr, PBEsol geometry, DFT meta-GGA SCAN; DOS(E_F) = 0.9 states/eV/f.u.; formation energy without anion corrections = 0.29 eV per atom; SG = Cmme (67); energy above the most stable polymorph in this dataset = 541 meV/atom
1.0
-2.7188 -1.9191 1.5958
3.2744 0.8195 2.2964
-3.4480 6.9196 2.4471
Br As
2 2
Direct
0.7500 0.5000 0.3493
0.2500 0.5000 0.6507
0.7500 0.5000 0.9039
0.2500 0.5000 0.0961


Record 7
AsBr, PBEsol geometry, DFT meta-GGA SCAN; DOS(E_F) = 1.4 states/eV/f.u.; formation energy without anion corrections = 0.68 eV per atom; SG = Fm-3m (225); energy above the most stable polymorph in this dataset = 933 meV/atom
1.0
4.0782 0.0000 0.0000
2.0391 3.5318 0.0000
2.0391 1.1773 3.3298
Br As
1 1
Direct
0.5000 0.5000 0.5000
0.0000 0.0000 0.0000


Record 8
As2Br, PBEsol geometry, DFT meta-GGA SCAN; DOS(E_F) = 0.4 states/eV/f.u.; formation energy without anion corrections = -0.14 eV per atom; SG = Cmcm (63); energy above the most stable polymorph in this dataset = 27 meV/atom
1.0
-2.8086 -0.1905 2.3498
2.9339 -2.8461 3.2760
3.8181 6.5022 2.2296
Br As
2 4
Direct
0.1702 0.7500 0.3404
0.8298 0.2500 0.6596
0.4801 0.7500 0.9603
0.5199 0.2500 0.0397
0.8684 0.7500 0.7367
0.1316 0.2500 0.2633


Record 9
AsBr3, PBEsol geometry, DFT meta-GGA SCAN; DOS(E_F) = 0.0 states/eV/f.u.; formation energy without anion corrections = -0.45 eV per atom; SG = Pnma (62)
1.0
-2.8306 -3.8325 -4.6002
-4.1406 -3.7826 5.6991
-7.2006 6.4551 -0.9472
As Br
4 12
Direct
0.0290 0.9868 0.2500
0.9710 0.0132 0.7500
0.4710 0.4868 0.2500
0.5290 0.5132 0.7500
0.6879 0.8977 0.2500
0.1594 0.8209 0.0686
0.8406 0.1791 0.5686
0.8406 0.1791 0.9314
0.3121 0.1023 0.7500
0.6594 0.6791 0.5686
0.6594 0.6791 0.9314
0.1594 0.8209 0.4314
0.8121 0.3977 0.2500
0.3406 0.3209 0.4314
0.1879 0.6023 0.7500
0.3406 0.3209 0.0686


Record 10
As3Br2, PBEsol geometry, DFT meta-GGA SCAN; DOS(E_F) = 1.2 states/eV/f.u.; formation energy without anion corrections = -0.03 eV per atom; SG = Fdd2 (43)
1.0
6.6307 0.0414 0.0772
-2.5308 6.8915 -0.0930
1.5691 3.0475 5.6767
Br As
4 6
Direct
0.9067 0.0927 0.7199
0.1874 0.9073 0.1860
0.0640 0.4073 0.0626
0.5301 0.5927 0.3433
0.5767 0.1151 0.1880
0.7116 0.3849 0.5532
0.3824 0.0000 0.6176
0.6968 0.8849 0.5384
0.0620 0.6151 0.6733
0.6324 0.5000 0.8676


Record 11
AsBr8, PBEsol geometry, DFT meta-GGA SCAN; DOS(E_F) = 5.3 states/eV/f.u.; formation energy without anion corrections = 0.16 eV per atom; SG = I4/mmm (139)
1.0
7.0334 -0.1399 0.0000
-3.2087 6.2604 0.0000
-1.9124 -3.0603 6.0387
Br As
8 1
Direct
0.0000 0.3053 0.3053
0.3333 0.3333 0.6666
0.6947 0.0000 0.6947
0.3053 0.0000 0.3053
0.3333 0.6667 0.0000
0.0000 0.6947 0.6947
0.6667 0.3333 0.0000
0.6667 0.6667 0.3334
0.0000 0.0000 0.0000


Record 12
As2Br, PBEsol geometry, DFT meta-GGA SCAN; formation energy without anion corrections = -0.17 eV per atom; SG = C2/m (12); energy above the most stable polymorph in this dataset = 0 meV/atom
1.0
-0.1239 -0.7136 3.5623
3.7221 -3.3644 -2.3993
4.3637 7.1870 1.5915
As Br
4 2
Direct
0.8869 0.7738 0.7458
0.1131 0.2262 0.2542
0.3776 0.7553 0.9449
0.6224 0.2447 0.0551
0.6519 0.3038 0.6359
0.3481 0.6962 0.3641


| no. | V (Å³/atom) | energy (eV/atom) |
| --- | --- | --- |
| 1 | 22.29 | -27.466 |
| 2 | 20.20 | -29.082 |
| 3 | 24.54 | -19.452 |
| 4 | 30.34 | -19.937 |
| 5 | 28.81 | -20.078 |
| 6 | 27.25 | -19.537 |
| 7 | 23.98 | -19.145 |
| 8 | 24.48 | -20.085 |
| 9 | 32.16 | -20.096 |
| 10 | 26.04 | -19.930 |
| 11 | 29.24 | -19.377 |
| 12 | 26.30 | -20.112 |